PBE with a Hubbard U LiNiF3, optimized geometry; excess energy over the best structure of this formula in the dataset = 971.5 meV/atom; V = 47.6 Å³ per cell; ρ = 4.3 g/cm3
1.0
3.624 0.000 0.000
0.000 3.624 0.000
0.000 0.000 3.624
Ni Li F
1 1 3
direct
0.500 0.500 0.500 Ni
0.000 0.000 0.000 Li
0.000 0.500 0.000 F
0.000 0.000 0.500 F
0.500 0.000 0.000 F